1.
# NaNd2Mg

A geometry-optimized NaNd2Mg structure (PBE, the Alexandria database).

Cell and atoms, written as POSCAR:
```
NaNd2Mg
1.0
3.9449 0.0000 0.0000
0.0000 5.6443 0.0000
0.0000 0.0000 5.6443
Mg Nd Na
1 2 1
Cartesian
1.9724 2.8222 2.8222 Mg
0.0000 0.0000 2.8222 Nd
0.0000 2.8222 0.0000 Nd
1.9724 0.0000 0.0000 Na
```

Offset from the most stable computed form = 43 meV per atom

2.
# NaNd4Mg5

A geometry-optimized NaNd4Mg5 structure (PBE, the Alexandria database).

Cell and atoms, written as POSCAR:
```
NaNd4Mg5
1.0
3.8778 0.0000 0.0000
0.0000 3.8778 0.0000
0.0000 0.0000 19.6023
Mg Nd Na
5 4 1
Cartesian
1.9389 1.9389 17.5781 Mg
1.9389 1.9389 13.6796 Mg
1.9389 1.9389 5.9227 Mg
1.9389 1.9389 2.0241 Mg
1.9389 1.9389 9.8011 Mg
0.0000 0.0000 15.5940 Nd
0.0000 0.0000 7.8618 Nd
0.0000 0.0000 4.0082 Nd
0.0000 0.0000 11.7405 Nd
0.0000 0.0000 0.0000 Na
```

3.
# NaNdMg

A geometry-optimized NaNdMg structure (PBE, the Alexandria database).

Cell and atoms, written as POSCAR:
```
NaNdMg
1.0
3.5022 -0.0091 0.3484
1.7416 3.0384 0.3484
1.8642 1.0769 17.9027
Na Mg Nd
2 2 2
Cartesian
2.9934 1.7292 4.7372 Na
1.5239 0.8803 1.2887 Na
2.4457 1.4129 10.6465 Mg
3.9443 2.2786 13.2864 Mg
4.4566 2.5745 8.1559 Nd
1.9320 1.1161 15.7728 Nd
```

Offset from the most stable computed form = 0 meV per atom

4.
# NaNdMg17

A geometry-optimized NaNdMg17 structure (PBE, the Alexandria database).

Cell and atoms, written as POSCAR:
```
NaNdMg17
1.0
-6.7140 2.2936 -3.4062
0.0166 -5.1403 -5.9597
-4.7328 -5.3948 3.2306
Mg Na Nd
17 1 1
Cartesian
-5.3081 -8.2050 -4.7288 Mg
-10.2977 -7.4249 -5.5273 Mg
-10.0024 -3.0202 -2.9478 Mg
-7.3157 -1.7572 -3.8293 Mg
-6.7416 -8.2818 -1.9549 Mg
-9.0379 -5.5492 -7.6673 Mg
-9.4044 -5.3407 -0.9447 Mg
-6.3389 -5.5479 -0.5571 Mg
-3.9973 -5.4224 -5.0883 Mg
-1.1360 -0.8191 -0.6098 Mg
-11.3555 -5.6734 -3.1826 Mg
-8.0711 -9.3010 -4.4286 Mg
-7.4467 -2.8321 -1.0579 Mg
-4.1323 -6.4929 -2.3153 Mg
-8.1233 -2.9195 -6.5838 Mg
-6.0919 -5.1632 -7.3545 Mg
-5.1079 -2.7067 -5.5836 Mg
-3.8962 -2.8093 -2.0913 Na
-7.6431 -5.5109 -4.1025 Nd
```

5.
# NaNd2Mg

A geometry-optimized NaNd2Mg structure (PBE, the Alexandria database).

Cell and atoms, written as POSCAR:
```
NaNd2Mg
1.0
3.9020 0.0000 0.0000
0.0000 3.9020 0.0000
0.0000 0.0000 8.4981
Na Nd Mg
1 2 1
Cartesian
1.9510 1.9510 4.2491 Na
0.0000 0.0000 1.8520 Nd
0.0000 0.0000 6.6461 Nd
1.9510 1.9510 0.0000 Mg
```

Offset from the most stable computed form = 0 meV per atom

6.
# NaNdMg2

A geometry-optimized NaNdMg2 structure (PBE, the Alexandria database).

Cell and atoms, written as POSCAR:
```
NaNdMg2
1.0
-3.6140 4.0595 0.3011
-3.4875 0.2353 4.1729
0.5545 3.8617 3.7961
Nd Mg Na
1 2 1
Cartesian
0.0000 0.0000 0.0000 Nd
-4.9102 6.1173 6.2026 Mg
-1.6367 2.0391 2.0675 Mg
-3.2735 4.0782 4.1351 Na
```

Offset from the most stable computed form = 32 meV per atom

no.,electronic total energy (eV/cell),ΔH_f (0 K) (eV/atom)
1,-11.938,0.128
2,-28.925,-0.056
3,-14.902,0.077
4,-33.128,0.004
5,-12.109,0.085
6,-8.981,0.074